# NbAs2SeI | Alexandria via LeMat-Bulk | PBEsol | optimized geometry
data_NbAs2SeI
_chemical_formula_sum 'Nb1 As2 Se1 I1'
_space_group_name_H-M_alt 'P 4/m m m'
_space_group_IT_number 123
_space_group_name_Hall '-P 4 2'
_cell_length_a 5.0816
_cell_length_b 5.0816
_cell_length_c 4.8600
_cell_angle_alpha 90.00
_cell_angle_beta 90.00
_cell_angle_gamma 90.00
loop_
_atom_site_label
_atom_site_fract_x
_atom_site_fract_y
_atom_site_fract_z
Nb1 0.0000 0.0000 0.0000
As1 0.0000 0.5000 0.0000
Se1 0.0000 0.0000 0.5000
I1 0.5000 0.5000 0.5000
# Formation energy from raw total energies, eV/atom: 0.14

=====

# TmZnPd2 | Alexandria via LeMat-Bulk | PBEsol | optimized geometry
data_TmZnPd2
_chemical_formula_sum 'Tm4 Zn4 Pd8'
_space_group_name_H-M_alt 'F m -3 m'
_space_group_IT_number 225
_space_group_name_Hall '-F 4 2 3'
_cell_length_a 6.4371
_cell_length_b 6.4371
_cell_length_c 6.4371
_cell_angle_alpha 90.00
_cell_angle_beta 90.00
_cell_angle_gamma 90.00
loop_
_atom_site_label
_atom_site_fract_x
_atom_site_fract_y
_atom_site_fract_z
Tm1 0.0000 0.0000 0.0000
Zn1 0.0000 0.0000 0.5000
Pd1 0.2500 0.2500 0.2500
# E_form, eV per atom: -0.762

=====

# Mg2SbPb | Alexandria via LeMat-Bulk | PBEsol | optimized geometry
data_Mg2SbPb
_chemical_formula_sum 'Mg6 Sb3 Pb3'
_space_group_name_H-M_alt 'R -3 m'
_space_group_IT_number 166
_space_group_name_Hall '-R 3 2"'
_cell_length_a 3.6496
_cell_length_b 3.6496
_cell_length_c 26.1511
_cell_angle_alpha 90.00
_cell_angle_beta 90.00
_cell_angle_gamma 120.00
loop_
_atom_site_label
_atom_site_fract_x
_atom_site_fract_y
_atom_site_fract_z
Mg1 0.0000 0.0000 0.2469
Sb1 0.0000 0.0000 0.5000
Pb1 0.0000 0.0000 0.0000
# Formation energy from raw total energies, eV/atom: -0.12

=====

# Mg2Cr3InS8 | Alexandria via LeMat-Bulk | PBEsol | optimized geometry
data_Mg2Cr3InS8
_chemical_formula_sum 'Mg6 Cr9 In3 S24'
_space_group_name_H-M_alt 'R -3 m'
_space_group_IT_number 166
_space_group_name_Hall '-R 3 2"'
_cell_length_a 7.1884
_cell_length_b 7.1884
_cell_length_c 18.0129
_cell_angle_alpha 90.00
_cell_angle_beta 90.00
_cell_angle_gamma 120.00
loop_
_atom_site_label
_atom_site_fract_x
_atom_site_fract_y
_atom_site_fract_z
Mg1 0.0000 0.0000 0.1260
Cr1 0.0000 0.5000 0.0000
In1 0.0000 0.0000 0.5000
S1 0.0000 0.0000 0.2638
S2 0.0230 0.5115 0.2616
# Formation energy from raw total energies, eV/atom: -0.86

=====

# BaCoSe | Alexandria via LeMat-Bulk | PBEsol | optimized geometry
data_BaCoSe
_chemical_formula_sum 'Ba4 Co4 Se4'
_space_group_name_H-M_alt 'F -4 3 m'
_space_group_IT_number 216
_space_group_name_Hall 'F -4 2 3'
_cell_length_a 7.2772
_cell_length_b 7.2772
_cell_length_c 7.2772
_cell_angle_alpha 90.00
_cell_angle_beta 90.00
_cell_angle_gamma 90.00
loop_
_atom_site_label
_atom_site_fract_x
_atom_site_fract_y
_atom_site_fract_z
Ba1 0.0000 0.0000 0.0000
Co1 0.2500 0.2500 0.7500
Se1 0.2500 0.2500 0.2500
# Formation energy from raw total energies, eV/atom: 0.41

=====

# SrHfNbCd2 | Alexandria via LeMat-Bulk | PBEsol | optimized geometry
data_SrHfNbCd2
_chemical_formula_sum 'Sr1 Hf1 Nb1 Cd2'
_space_group_name_H-M_alt 'P 4/m m m'
_space_group_IT_number 123
_space_group_name_Hall '-P 4 2'
_cell_length_a 5.4961
_cell_length_b 5.4961
_cell_length_c 4.7935
_cell_angle_alpha 90.00
_cell_angle_beta 90.00
_cell_angle_gamma 90.00
loop_
_atom_site_label
_atom_site_fract_x
_atom_site_fract_y
_atom_site_fract_z
Sr1 0.0000 0.0000 0.0000
Hf1 0.5000 0.5000 0.5000
Nb1 0.5000 0.5000 0.0000
Cd1 0.0000 0.5000 0.5000
# E_form, eV per atom: 0.715

=====

# MoPdSeN2 | Alexandria via LeMat-Bulk | PBEsol | optimized geometry
data_MoPdSeN2
_chemical_formula_sum 'Mo1 Pd1 Se1 N2'
_space_group_name_H-M_alt 'P 4/m m m'
_space_group_IT_number 123
_space_group_name_Hall '-P 4 2'
_cell_length_a 3.8013
_cell_length_b 3.8013
_cell_length_c 5.2979
_cell_angle_alpha 90.00
_cell_angle_beta 90.00
_cell_angle_gamma 90.00
loop_
_atom_site_label
_atom_site_fract_x
_atom_site_fract_y
_atom_site_fract_z
Mo1 0.0000 0.0000 0.0000
Pd1 0.5000 0.5000 0.5000
Se1 0.0000 0.0000 0.5000
N1 0.0000 0.5000 0.0000
# Formation energy from raw total energies, eV/atom: 0.45

=====

# LiMnCo2B | Alexandria via LeMat-Bulk | PBEsol | optimized geometry
data_LiMnCo2B
_chemical_formula_sum 'Li1 Mn1 Co2 B1'
_space_group_name_H-M_alt 'P 4/m m m'
_space_group_IT_number 123
_space_group_name_Hall '-P 4 2'
_cell_length_a 4.0086
_cell_length_b 4.0086
_cell_length_c 4.1607
_cell_angle_alpha 90.00
_cell_angle_beta 90.00
_cell_angle_gamma 90.00
loop_
_atom_site_label
_atom_site_fract_x
_atom_site_fract_y
_atom_site_fract_z
Li1 0.0000 0.0000 0.0000
Mn1 0.0000 0.0000 0.5000
Co1 0.0000 0.5000 0.5000
B1 0.5000 0.5000 0.0000
# E_form, eV per atom: 1.843

=====

For reference, electronic total energy by record: -5.186; -5.362; -3.117; -6.019; -4.173; -4.397; -7.280; -5.001 eV per atom.